Crystalline TmSn2Hg at its relaxed geometry, computed with GGA-PBE.

## Properties
Fermi-level density of states = 0.93 states/eV/atom
formation energy = -0.105 eV/atom
crystal system = trigonal

The structure in POSCAR format:
```
TmSn2Hg
1.0
-3.424 1.632 -3.680
-3.946 -3.166 -1.527
-4.996 1.157 1.367
Hg Sn Tm
1 2 1
direct
0.500 0.500 0.500
0.752 0.752 0.745
0.248 0.248 0.255
0.000 0.000 0.000
```